[1]
! Er8Co2Pd, optimized geometry, DFT PBE; values from VASP
! DOS(E_F) = 12.1 states/eV/cell
! Relative energy among the computed polymorphs = 0 meV per atom
! E_form = -5.70 kcal/mol of atoms
! SG = C2/m
! Spin magnetization = 0.0 μB/f.u.
&SYSTEM
  ibrav = 0, nat = 11, ntyp = 3
/
ATOMIC_SPECIES
Er 167.26 Er.upf
Co 58.93 Co.upf
Pd 106.42 Pd.upf
ATOMIC_POSITIONS crystal
Er 0.674 0.977 0.348
Er 0.326 0.023 0.652
Er 0.037 0.783 0.074
Er 0.798 0.675 0.596
Er 0.963 0.217 0.926
Co 0.188 0.713 0.376
Pd 0.500 0.000 0.000
Co 0.812 0.287 0.624
Er 0.202 0.325 0.404
Er 0.404 0.536 0.809
Er 0.596 0.464 0.191
CELL_PARAMETERS angstrom
4.886 0.000 0.000
0.000 6.648 0.173
-2.443 -2.643 8.085

[2]
! Er4Co3Pd, optimized geometry, DFT PBE; values from VASP
! DOS(E_F) = 6.3 states/eV/cell
! E_form = -8.71 kcal/mol of atoms
! SG = Pmm2
! Spin magnetization = 0.7 μB/f.u.
&SYSTEM
  ibrav = 0, nat = 8, ntyp = 3
/
ATOMIC_SPECIES
Er 167.26 Er.upf
Co 58.93 Co.upf
Pd 106.42 Pd.upf
ATOMIC_POSITIONS crystal
Er 0.000 0.000 0.147
Er 0.500 0.000 0.644
Co 0.500 0.000 0.917
Er 0.500 0.500 0.366
Co 0.000 0.000 0.442
Co 0.000 0.500 0.557
Er 0.000 0.500 0.850
Pd 0.500 0.500 0.077
CELL_PARAMETERS angstrom
-1.778 1.052 3.323
-3.467 0.001 -1.855
-1.323 -10.028 2.467

[3]
! PmErCo3, optimized geometry, DFT PBE; values from VASP
! DOS(E_F) = 8.2 states/eV/cell
! E_form = -3.77 kcal/mol of atoms
! SG = Cmcm
! Spin magnetization = 1.9 μB/f.u.
&SYSTEM
  ibrav = 0, nat = 10, ntyp = 3
/
ATOMIC_SPECIES
Er 167.26 Er.upf
Pm 145.00 Pm.upf
Co 58.93 Co.upf
ATOMIC_POSITIONS crystal
Er 0.250 0.794 0.588
Pm 0.250 0.072 0.143
Co 0.250 0.476 0.951
Co 0.750 0.623 0.246
Co 0.250 0.670 0.340
Co 0.750 0.330 0.660
Co 0.750 0.524 0.049
Pm 0.750 0.928 0.857
Co 0.250 0.377 0.754
Er 0.750 0.206 0.412
CELL_PARAMETERS angstrom
3.901 0.000 0.000
0.000 4.068 -0.778
0.000 0.142 11.768

[4]
! PmEr2Co6, optimized geometry, DFT PBE; values from VASP
! DOS(E_F) = 6.7 states/eV/cell
! E_form = -3.77 kcal/mol of atoms
! SG = P6/mmm
! Spin magnetization = 4.4 μB/f.u.
&SYSTEM
  ibrav = 0, nat = 9, ntyp = 3
/
ATOMIC_SPECIES
Co 58.93 Co.upf
Er 167.26 Er.upf
Pm 145.00 Pm.upf
ATOMIC_POSITIONS crystal
Co 0.500 0.000 0.665
Co 0.500 0.665 0.665
Er 0.000 0.667 0.333
Co 0.500 0.335 0.000
Co 0.500 0.665 0.000
Co 0.500 0.000 0.335
Co 0.500 0.335 0.335
Er 0.000 0.333 0.667
Pm 0.000 0.000 0.000
CELL_PARAMETERS angstrom
4.052 0.000 0.000
0.000 5.775 -3.334
0.000 0.000 6.668